[1]
! ThAlCuNi3, optimized geometry, DFT GGA-PBE; values from VASP
&SYSTEM
  ibrav = 0, nat = 12, ntyp = 4
/
ATOMIC_SPECIES
Al 26.98 Al.upf
Cu 63.55 Cu.upf
Ni 58.69 Ni.upf
Th 232.04 Th.upf
ATOMIC_POSITIONS angstrom
Al 2.233 2.862 2.785
Al -2.643 4.000 2.951
Cu -1.371 4.628 0.697
Cu 0.961 2.234 5.039
Ni 0.480 2.002 1.121
Ni -2.285 -1.127 2.991
Ni -3.685 1.720 2.994
Ni -2.182 2.461 1.026
Ni -0.782 -0.386 1.023
Ni -0.890 4.860 4.615
Th -0.883 1.330 3.290
Th 0.473 5.532 2.446
CELL_PARAMETERS angstrom
-2.800 5.694 0.007
-3.067 -1.513 4.014
5.456 2.681 1.716
! - Formation energy from the elements: -0.25 eV/atom

[2]
! TiNbPb, optimized geometry, DFT GGA-PBE; values from VASP
&SYSTEM
  ibrav = 0, nat = 6, ntyp = 3
/
ATOMIC_SPECIES
Pb 207.20 Pb.upf
Ti 47.87 Ti.upf
Nb 92.91 Nb.upf
ATOMIC_POSITIONS angstrom
Pb -1.543 -3.776 -2.730
Pb -4.665 -3.005 0.132
Ti -4.020 -5.149 -1.983
Ti -2.188 -1.631 -0.615
Nb -6.208 -6.783 -2.605
Nb -0.218 -0.960 -2.489
CELL_PARAMETERS angstrom
-0.436 -1.925 -4.991
1.592 -2.437 0.801
-7.365 -2.423 1.579
! - ΔE to the lowest computed polymorph: 0.208 kcal/mol of atoms
! - Formation energy from the elements: 0.28 eV/atom

[3]
! Al2TeCl, optimized geometry, DFT GGA-PBE; values from VASP
&SYSTEM
  ibrav = 0, nat = 8, ntyp = 3
/
ATOMIC_SPECIES
Cl 35.45 Cl.upf
Al 26.98 Al.upf
Te 127.60 Te.upf
ATOMIC_POSITIONS angstrom
Cl -5.274 -6.507 1.894
Cl -4.495 -2.811 0.091
Al -5.805 -0.600 1.121
Al -11.126 -7.032 3.019
Al -6.659 -4.343 2.926
Al -3.120 -5.066 0.921
Te -8.081 -2.013 2.100
Te 0.000 0.000 0.000
CELL_PARAMETERS angstrom
-7.301 1.684 0.296
-1.689 -7.305 -0.114
-4.365 -2.899 3.812
! - Formation energy from raw total energies: -0.042 eV per atom
! - ΔE to the lowest computed polymorph: 8.973 kcal/mol of atoms

[4]
! YSiAs2, optimized geometry, DFT GGA-PBE; values from VASP
&SYSTEM
  ibrav = 0, nat = 4, ntyp = 3
/
ATOMIC_SPECIES
Y 88.91 Y.upf
As 74.92 As.upf
Si 28.09 Si.upf
ATOMIC_POSITIONS angstrom
Y 7.376 4.258 3.011
As 0.000 0.000 0.000
As 2.459 1.419 1.004
Si 4.917 2.839 2.007
CELL_PARAMETERS angstrom
4.917 0.000 0.000
2.459 4.258 0.000
2.459 1.419 4.015
! - Formation energy from raw total energies: -0.026 eV per atom

[5]
! Tb4Ga2O, optimized geometry, DFT GGA-PBE; values from VASP
&SYSTEM
  ibrav = 0, nat = 14, ntyp = 3
/
ATOMIC_SPECIES
Ga 69.72 Ga.upf
Tb 158.93 Tb.upf
O 16.00 O.upf
ATOMIC_POSITIONS angstrom
Ga 5.268 -3.829 4.550
Ga 3.543 -2.916 -4.886
Ga 5.811 -4.689 -1.508
Ga 3.000 -2.057 1.172
Tb 6.227 -2.365 -3.512
Tb 0.528 -4.512 -3.706
Tb 3.359 -2.825 -1.827
Tb 2.966 -6.175 -0.009
Tb 5.845 -0.570 -0.327
Tb 8.283 -2.234 3.370
Tb 5.452 -3.921 1.491
Tb 2.584 -4.380 3.176
O 4.839 -1.208 -2.214
O 3.972 -5.537 1.878
CELL_PARAMETERS angstrom
-1.371 -5.049 -3.711
5.783 0.927 -3.397
4.399 -2.623 6.772
! - Formation energy from raw total energies: -1.160 eV per atom

[6]
! Mg3Hg5, optimized geometry, DFT GGA-PBE; values from VASP
&SYSTEM
  ibrav = 0, nat = 16, ntyp = 2
/
ATOMIC_SPECIES
Mg 24.30 Mg.upf
Hg 200.59 Hg.upf
ATOMIC_POSITIONS angstrom
Mg 7.184 3.551 0.396
Mg 3.871 0.841 1.245
Mg 1.517 3.453 3.327
Mg 2.003 -2.279 3.582
Mg 3.354 6.568 1.024
Mg 5.794 4.285 3.104
Hg 0.617 5.186 1.097
Hg 1.427 2.125 0.356
Hg 1.192 0.612 3.815
Hg 4.726 -0.912 3.487
Hg 7.986 -1.113 3.268
Hg 6.639 1.508 2.393
Hg 3.895 2.098 4.248
Hg -2.642 5.420 1.352
Hg 4.096 3.681 0.767
Hg -1.281 2.769 2.236
CELL_PARAMETERS angstrom
-4.551 6.887 0.655
2.178 -6.211 5.026
7.703 3.595 -1.087
! - ΔE to the lowest computed polymorph: 0.533 kcal/mol of atoms
! - Formation energy from the elements: -0.12 eV/atom

[7]
! ScFe, optimized geometry, DFT GGA-PBE; values from VASP
&SYSTEM
  ibrav = 0, nat = 32, ntyp = 2
/
ATOMIC_SPECIES
Fe 55.84 Fe.upf
Sc 44.96 Sc.upf
ATOMIC_POSITIONS angstrom
Fe 0.000 5.297 4.089
Fe 1.283 10.628 2.044
Fe 1.283 4.258 6.133
Fe 3.848 2.112 2.044
Fe 1.283 8.482 2.044
Fe 0.000 1.073 0.000
Fe 2.566 11.667 4.089
Fe 2.566 7.443 0.000
Fe 3.848 8.482 6.133
Fe 2.566 5.297 0.000
Fe 3.848 4.258 2.044
Fe 0.000 11.667 0.000
Fe 1.283 2.112 6.133
Fe 0.000 7.443 4.089
Fe 2.566 1.073 4.089
Fe 3.848 10.628 6.133
Sc 2.566 0.000 6.782
Sc 2.566 0.000 1.395
Sc 0.000 0.000 5.484
Sc 3.848 3.185 4.738
Sc 3.848 3.185 7.529
Sc 3.848 9.555 0.649
Sc 0.000 0.000 2.693
Sc 3.848 9.555 3.440
Sc 1.283 3.185 0.649
Sc 0.000 6.370 1.395
Sc 1.283 9.555 4.738
Sc 2.566 6.370 5.484
Sc 2.566 6.370 2.693
Sc 1.283 9.555 7.529
Sc 1.283 3.185 3.440
Sc 0.000 6.370 6.782
CELL_PARAMETERS angstrom
5.131 0.000 0.000
0.000 12.740 0.000
0.000 0.000 8.178
! - Formation energy from the elements: 0.14 eV/atom

[8]
! YWN3, optimized geometry, DFT GGA-PBE; values from VASP
&SYSTEM
  ibrav = 0, nat = 20, ntyp = 3
/
ATOMIC_SPECIES
N 14.01 N.upf
W 183.84 W.upf
Y 88.91 Y.upf
ATOMIC_POSITIONS angstrom
N 7.724 9.860 7.724
N 5.149 5.149 3.014
N 7.285 5.149 5.149
N 9.860 7.724 7.724
N 7.724 5.588 7.724
N 3.014 5.149 5.149
N 5.149 5.149 7.285
N 7.724 7.724 5.588
N 5.149 7.285 5.149
N 5.588 7.724 7.724
N 5.149 3.014 5.149
N 7.724 7.724 9.860
W 6.437 3.862 3.862
W 6.437 6.437 6.437
W 3.862 3.862 6.437
W 3.862 6.437 3.862
Y 1.287 1.287 1.287
Y 1.287 3.862 3.862
Y 3.862 1.287 3.862
Y 3.862 3.862 1.287
CELL_PARAMETERS angstrom
5.149 5.149 0.000
0.000 5.149 5.149
5.149 0.000 5.149
! - Formation energy from raw total energies: -0.438 eV per atom